(1)
Below is an optimized crystal structure of NbTeS2, with properties calculated at the PBE level.

Unit cell a=9.0832 b=9.0832 c=9.0832 alpha=21.38 beta=21.38 gamma=21.38
Element x y z (fractional)
1 Nb 0.0000 0.0000 0.0000
2 Te 0.5000 0.5000 0.5000
3 S 0.0870 0.0870 0.0870
4 S 0.9130 0.9130 0.9130

Properties
Formation energy from raw total energies   9.34 kcal/mol of atoms
Crystal system   trigonal

=====

(2)
Below is an optimized crystal structure of Ac2U2Te7, with properties calculated at the PBE level.

Unit cell a=7.5578 b=7.6612 c=7.5578 alpha=90.00 beta=97.59 gamma=90.00
Site moments in Bohr magnetons follow the coordinates.
Element x y z (fractional)
1 Te 0.5000 0.2258 0.5000  0.04
2 Te 0.0000 0.7475 0.5000  0.06
3 Te 0.0000 0.2525 0.5000  0.06
4 Te 0.5000 0.7475 0.0000  0.06
5 Te 0.0000 0.0000 0.0000  0.09
6 Te 0.5000 0.7742 0.5000  0.04
7 Te 0.5000 0.2525 0.0000  0.06
8 U 0.7330 0.0000 0.2670  -2.23
9 U 0.2670 0.0000 0.7330  -2.23
10 Ac 0.7429 0.5000 0.7429  0.01
11 Ac 0.2571 0.5000 0.2571  0.01

Properties
Formation energy from raw total energies   -19.98 kcal/mol of atoms
Crystal system   orthorhombic

=====

(3)
Below is an optimized crystal structure of Na2InGa3, with properties calculated at the PBE level.

Unit cell a=4.5568 b=6.0229 c=5.8979 alpha=76.85 beta=67.28 gamma=67.77
Element x y z (fractional)
1 Ga 0.8232 0.6029 0.7508
2 Ga 0.1609 0.7921 0.8861
3 Ga 0.8550 0.2052 0.0848
4 In 0.1595 0.3998 0.2812
5 Na 0.5623 0.1866 0.6889
6 Na 0.4391 0.8135 0.3083

Properties
ΔH_f (0 K)   -0.139 eV/atom
Crystal system   monoclinic

=====

(4)
Below is an optimized crystal structure of YZr2Ag2, with properties calculated at the PBE level.

Unit cell a=8.6071 b=8.6071 c=3.0434 alpha=90.00 beta=90.00 gamma=90.00
Site moments in Bohr magnetons follow the coordinates.
Element x y z (fractional)
1 Ag 0.1727 0.6727 0.5000  0.00
2 Ag 0.8273 0.3273 0.5000  0.00
3 Ag 0.3273 0.1727 0.5000  0.00
4 Ag 0.6727 0.8273 0.5000  0.00
5 Zr 0.8748 0.6252 0.0000  0.00
6 Zr 0.3748 0.8748 0.0000  0.00
7 Zr 0.1252 0.3748 0.0000  0.00
8 Zr 0.6252 0.1252 0.0000  0.00
9 Y 0.5000 0.5000 0.0000  0.22
10 Y 0.0000 0.0000 0.0000  0.22

Properties
ΔH_f (0 K)   0.097 eV/atom
Polymorph energy (0 for the lowest one)   65 meV per atom
Crystal system   tetragonal

=====

(5)
Below is an optimized crystal structure of Ho2Si3Au2, with properties calculated at the PBE level.

Unit cell a=4.2620 b=6.9342 c=9.2909 alpha=90.00 beta=103.26 gamma=90.00
Element x y z (fractional)
1 Si 0.2232 0.7500 0.4463
2 Si 0.5564 0.0778 0.1127
3 Si 0.4436 0.9222 0.8873
4 Si 0.7768 0.2500 0.5537
5 Si 0.4436 0.5778 0.8873
6 Si 0.5564 0.4222 0.1127
7 Ho 0.1516 0.2500 0.3033
8 Ho 0.8484 0.7500 0.6967
9 Ho 0.0501 0.7500 0.1002
10 Ho 0.9499 0.2500 0.8998
11 Au 0.3153 0.4520 0.6307
12 Au 0.6847 0.5480 0.3693
13 Au 0.3153 0.0480 0.6307
14 Au 0.6847 0.9520 0.3693

Properties
Formation energy from raw total energies   -15.35 kcal/mol of atoms
Crystal system   orthorhombic

=====

(6)
Below is an optimized crystal structure of La2ZrAu, with properties calculated at the PBE level.

Unit cell a=6.5393 b=6.5393 c=5.5468 alpha=65.94 beta=65.94 gamma=31.53
Element x y z (fractional)
1 La 0.2376 0.2376 0.2469
2 La 0.0304 0.0304 0.9985
3 Au 0.7701 0.7701 0.6908
4 Zr 0.4619 0.4619 0.5638

Properties
ΔH_f (0 K)   -0.261 eV/atom
Polymorph energy (0 for the lowest one)   0 meV per atom
Crystal system   monoclinic

=====

M_tot values, unit μB/cell, following the record order: 0.00; 4.00; 0.00; 0.63; 0.00; 0.00.